# LiHf2Ge

A geometry-optimized LiHf2Ge structure (PBE, Alexandria).

POSCAR file:
```
LiHf2Ge
1.0
7.446 0.000 0.000
0.000 7.446 0.000
0.000 0.000 5.539
Li Hf Ge
4 8 4
Cartesian
0.000 0.000 0.000
0.000 3.723 1.385
3.723 0.000 4.154
3.723 3.723 2.769
1.836 1.861 3.462
1.861 5.559 4.847
1.861 5.609 2.077
1.886 1.861 0.692
5.559 5.584 0.692
5.584 1.836 2.077
5.584 1.886 4.847
5.609 5.584 3.462
0.000 0.000 2.769
0.000 3.723 4.154
3.723 0.000 1.385
3.723 3.723 0.000
```

Calculated values
For the energy of formation from the pure elements, the calculation gives 0.16 eV/atom. Its space group is I-42d.

=====

# LiHf2GeN

A geometry-optimized LiHf2GeN structure (PBE, Alexandria).

POSCAR file:
```
LiHf2GeN
1.0
4.377 0.000 0.000
0.000 4.377 0.000
0.000 0.000 3.945
Li Hf Ge N
1 2 1 1
Cartesian
0.000 0.000 0.000
0.000 2.189 1.972
2.189 0.000 1.972
2.189 2.189 0.000
0.000 0.000 1.972
```

Calculated values
Its space group is P4/mmm. The uncorrected formation energy is -870 meV/atom.

=====

# NaLi2HfGe

A geometry-optimized NaLi2HfGe structure (PBE, Alexandria).

POSCAR file:
```
NaLi2HfGe
1.0
4.939 0.000 0.000
0.000 4.939 0.000
0.000 0.000 5.191
Na Li Hf Ge
1 2 1 1
Cartesian
0.000 0.000 0.000
0.000 2.470 2.595
2.470 0.000 2.595
2.470 2.470 0.000
2.470 2.470 2.595
```

Calculated values
For the energy of formation from the pure elements, the calculation gives 0.22 eV/atom. Its space group is P4/mmm.

=====

# LiHf2NiGe

A geometry-optimized LiHf2NiGe structure (PBE, Alexandria).

POSCAR file:
```
LiHf2NiGe
1.0
5.031 0.000 0.000
0.000 5.031 0.000
0.000 0.000 4.320
Li Hf Ni Ge
1 2 1 1
Cartesian
0.000 0.000 0.000
0.000 2.516 2.160
2.516 0.000 2.160
2.516 2.516 0.000
2.516 2.516 2.160
```

Calculated values
For the energy of formation from the pure elements, the calculation gives 0.49 eV/atom. Its space group is P4/mmm.

=====

# LiHfGeOs

A geometry-optimized LiHfGeOs structure (PBE, Alexandria).

POSCAR file:
```
LiHfGeOs
1.0
6.269 0.000 0.000
0.000 6.269 0.000
0.000 0.000 6.269
Li Hf Ge Os
4 4 4 4
Cartesian
0.000 0.000 0.000
0.000 3.135 3.135
3.135 0.000 3.135
3.135 3.135 0.000
1.567 1.567 1.567
1.567 4.702 4.702
4.702 1.567 4.702
4.702 4.702 1.567
1.567 1.567 4.702
1.567 4.702 1.567
4.702 1.567 1.567
4.702 4.702 4.702
0.000 0.000 3.135
0.000 3.135 0.000
3.135 0.000 0.000
3.135 3.135 3.135
```

Calculated values
For the energy of formation from the pure elements, the calculation gives -0.37 eV/atom. Its space group is F-43m.

=====

# LiHfGe2Os

A geometry-optimized LiHfGe2Os structure (PBE, Alexandria).

POSCAR file:
```
LiHfGe2Os
1.0
5.003 0.000 0.000
0.000 5.003 0.000
0.000 0.000 4.874
Li Hf Ge Os
1 1 2 1
Cartesian
0.000 0.000 0.000
0.000 0.000 2.437
0.000 2.501 2.437
2.501 0.000 2.437
2.501 2.501 0.000
```

Calculated values
For the energy of formation from the pure elements, the calculation gives 1.73 eV/atom. Its space group is P4/mmm.

=====

# LiHf2GePd

A geometry-optimized LiHf2GePd structure (PBE, Alexandria).

POSCAR file:
```
LiHf2GePd
1.0
4.667 0.000 0.000
0.000 4.667 0.000
0.000 0.000 4.111
Li Hf Ge Pd
1 2 1 1
Cartesian
0.000 0.000 0.000
0.000 2.333 0.000
2.333 0.000 0.000
0.000 0.000 2.055
2.333 2.333 2.055
```

Calculated values
For the energy of formation from the pure elements, the calculation gives 0.37 eV/atom. Its space group is P4/mmm.

=====

# LiHfGePt

A geometry-optimized LiHfGePt structure (PBE, Alexandria).

POSCAR file:
```
LiHfGePt
1.0
6.424 0.000 0.000
0.000 6.424 0.000
0.000 0.000 6.424
Li Hf Ge Pt
4 4 4 4
Cartesian
0.000 0.000 0.000
0.000 3.212 3.212
3.212 0.000 3.212
3.212 3.212 0.000
0.000 0.000 3.212
0.000 3.212 0.000
3.212 0.000 0.000
3.212 3.212 3.212
1.606 1.606 4.818
1.606 4.818 1.606
4.818 1.606 1.606
4.818 4.818 4.818
1.606 1.606 1.606
1.606 4.818 4.818
4.818 1.606 4.818
4.818 4.818 1.606
```

Calculated values
For the energy of formation from the pure elements, the calculation gives -0.69 eV/atom. Its space group is F-43m.

=====

# LiHfGeRu

A geometry-optimized LiHfGeRu structure (PBE, Alexandria).

POSCAR file:
```
LiHfGeRu
1.0
6.242 0.000 0.000
0.000 6.242 0.000
0.000 0.000 6.242
Li Hf Ge Ru
4 4 4 4
Cartesian
0.000 0.000 0.000
0.000 3.121 3.121
3.121 0.000 3.121
3.121 3.121 0.000
1.561 1.561 4.682
1.561 4.682 1.561
4.682 1.561 1.561
4.682 4.682 4.682
1.561 1.561 1.561
1.561 4.682 4.682
4.682 1.561 4.682
4.682 4.682 1.561
0.000 0.000 3.121
0.000 3.121 0.000
3.121 0.000 0.000
3.121 3.121 3.121
```

Calculated values
For the energy of formation from the pure elements, the calculation gives -0.47 eV/atom. Its space group is F-43m.

=====

# Li2HfGeTe4

A geometry-optimized Li2HfGeTe4 structure (PBE, Alexandria).

POSCAR file:
```
Li2HfGeTe4
1.0
7.266 0.000 0.000
0.000 4.172 0.000
-2.340 0.000 6.948
Li Hf Ge Te
2 1 1 4
Cartesian
0.000 0.000 0.000
-1.170 2.086 3.474
2.463 0.000 3.474
3.633 2.086 0.000
0.128 0.000 5.171
1.293 2.086 1.789
3.634 2.086 5.159
4.799 0.000 1.778
```

Calculated values
Its space group is P2/m. The uncorrected formation energy is -683 meV/atom.

=====

# LuHfGe2

A geometry-optimized LuHfGe2 structure (PBE, Alexandria).

POSCAR file:
```
LuHfGe2
1.0
3.872 0.000 0.000
-1.936 3.353 0.000
0.000 0.000 20.044
Lu Hf Ge
3 3 6
Cartesian
0.000 0.000 0.000
0.000 2.235 13.363
1.936 1.118 6.681
0.000 0.000 10.022
0.000 2.235 3.341
1.936 1.118 16.704
0.000 0.000 4.914
0.000 0.000 15.130
0.000 2.235 8.449
0.000 2.235 18.277
1.936 1.118 1.767
1.936 1.118 11.596
```

Calculated values
For the energy of formation from the pure elements, the calculation gives -0.63 eV/atom. Its space group is R-3m.

=====

# HfMgGe

A geometry-optimized HfMgGe structure (PBE, Alexandria).

POSCAR file:
```
HfMgGe
1.0
3.134 0.000 0.000
-1.567 2.714 0.000
0.000 0.000 21.306
Hf Mg Ge
3 3 3
Cartesian
0.000 0.000 0.000
0.000 1.810 14.204
1.567 0.905 7.102
0.000 0.000 4.506
0.000 1.810 18.710
1.567 0.905 11.608
0.000 0.000 16.471
0.000 1.810 9.369
1.567 0.905 2.267
```

Calculated values
For the energy of formation from the pure elements, the calculation gives -0.12 eV/atom. Its space group is R3m.

=====

Number 1: V 19.2 A^3/atom. Number 2: V 15.1 A^3/atom. Number 3: V 25.3 A^3/atom. Number 4: V 21.9 A^3/atom. Number 5: V 15.4 A^3/atom. Number 6: V 24.4 A^3/atom. Number 7: V 17.9 A^3/atom. Number 8: V 16.6 A^3/atom. Number 9: V 15.2 A^3/atom. Number 10: V 26.3 A^3/atom. Number 11: V 21.7 A^3/atom. Number 12: V 20.1 A^3/atom.